Record 1
Tm3SbS2: relaxed, PBE-GGA.

Cell: 4.0063 4.0063 9.7908 Å, 90.00 90.00 120.00°
With the nearest neighbours (Å) after each atom.
Space group P-3m1 (No. 164)
Symmetry-distinct sites (fractional):
Tm  0.0000  0.0000  0.0000  6 S 2.76
Tm  0.3333  0.6667  0.3062  3 S 2.75, 3 Sb 2.99
Sb  0.0000  0.0000  0.5000  6 Tm 2.99
S  0.3333  0.6667  0.8464  6 Tm 2.75-2.76

Calculated values
E, eV per atom: -5.899
Size of the total moment, μB per formula unit: 0.0

Record 2
CsTl3Pd: relaxed, PBE-GGA.

Cell: 8.9374 4.3568 9.7774 Å, 90.00 113.87 90.00°
With the nearest neighbours (Å) after each atom.
Space group P2_1/m (No. 11)
Symmetry-distinct sites (fractional):
Cs  0.2208  0.2500  0.4320  8 Tl 3.92-4.04, 2 Cs 4.36
Tl  0.0603  0.2500  0.9218  1 Pd 2.77, 2 Tl 3.10
Tl  0.2719  0.7500  0.7820  3 Pd 2.90
Tl  0.3791  0.7500  0.1840  3 Pd 2.90-3.17
Pd  0.3939  0.2500  0.9944  6 Tl 2.77-2.90, 2 Pd 2.86

Calculated values
E, eV per atom: -2.772
Energy above the lowest structure with this stoichiometry, meV per atom: 0

Record 3
ZrScAl4Ni2: relaxed, PBE-GGA.

Cell: 6.5707 4.0434 9.5777 Å, 90.00 90.00 90.00°
With the nearest neighbours (Å) after each atom.
Space group Amm2 (No. 38)
Symmetry-distinct sites (fractional):
Zr  0.0000  0.0000  0.0000  3 Ni 2.66-2.94, 4 Al 2.91
Sc  0.5000  0.0000  0.8638  3 Ni 2.65-2.94, 4 Al 2.91
Al  0.1995  0.0000  0.2892  3 Ni 2.43-2.49, 1 Al 2.62
Al  0.2993  0.0000  0.5747  3 Ni 2.42-2.50, 1 Al 2.64
Ni  0.0000  0.0000  0.7224  6 Al 2.42-2.49, 1 Zr 2.66
Ni  0.5000  0.0000  0.1410  6 Al 2.43-2.50, 1 Sc 2.65

Calculated values
E, eV per atom: -5.778
Size of the total moment, μB per formula unit: 0.0

Record 4
HfZrNb2Sn2: relaxed, PBE-GGA.

Cell: 4.0556 4.0556 15.4466 Å, 90.00 90.00 90.00°
With the nearest neighbours (Å) after each atom.
Space group I4mm (No. 107)
Symmetry-distinct sites (fractional):
Hf  0.0000  0.0000  0.0000  5 Sn 2.91-2.95
Zr  0.0000  0.0000  0.6568  5 Sn 2.92-2.93
Nb  0.0000  0.5000  0.3297  4 Nb 2.87, 4 Sn 2.94-2.95
Sn  0.0000  0.0000  0.1910  4 Zr 2.92, 4 Nb 2.95, 1 Hf 2.95
Sn  0.0000  0.0000  0.4671  4 Hf 2.91, 1 Zr 2.93, 4 Nb 2.94

Calculated values
E, eV per atom: -8.127
Size of the total moment, μB per formula unit: 0.0

Record 5
LaTbSn2: relaxed, PBE-GGA.

Cell: 3.3893 6.4023 12.4870 Å, 90.00 90.00 90.00°
With the nearest neighbours (Å) after each atom.
Space group Amm2 (No. 38)
Symmetry-distinct sites (fractional):
La  0.0000  0.0000  0.0000  3 Sn 3.16-3.21, 2 La 3.39, 1 Tb 3.50
Tb  0.0000  0.0000  0.2802  3 Sn 3.00-3.23
Sn  0.0000  0.0000  0.5204  1 Sn 2.83, 1 Tb 3.00
Sn  0.0000  0.0000  0.7472  1 Sn 2.83, 1 La 3.16

Calculated values
E, eV per atom: -4.357
Size of the total moment, μB per formula unit: 0.0

Record 6
SrZnHgTe3: relaxed, PBE-GGA.

Cell: 4.2801 14.4741 12.1467 Å, 90.00 90.00 90.00°
With the nearest neighbours (Å) after each atom.
Space group Cmcm (No. 63)
Symmetry-distinct sites (fractional):
Sr  0.0000  0.2237  0.2500  6 Te 3.29-3.51, 2 Hg 3.57
Zn  0.0000  0.0000  0.0000  4 Te 2.90
Hg  0.0000  0.4737  0.7500  4 Te 2.84-2.85
Te  0.0000  0.1035  0.7500  2 Hg 2.85
Te  0.0000  0.3714  0.5509  1 Hg 2.84, 2 Zn 2.90

Calculated values
E, eV per atom: -2.657
Energy above the lowest structure with this stoichiometry, meV per atom: 66

Record 7
ZrInCu3Se4: relaxed, PBE-GGA.

Cell: 6.1962 6.1962 6.1962 Å, 90.00 90.00 90.00°
With the nearest neighbours (Å) after each atom.
Space group P-43m (No. 215)
Symmetry-distinct sites (fractional):
Zr  0.0000  0.0000  0.0000  4 Se 2.51
In  0.5000  0.5000  0.5000  4 Se 2.86
Cu  0.0000  0.0000  0.5000  4 Se 2.63
Se  0.2338  0.2338  0.7662  1 Zr 2.51, 3 Cu 2.63

Calculated values
E, eV per atom: -4.480
Size of the total moment, μB per formula unit: 0.0

Record 8
TbGdFe2Ge4: relaxed, PBE-GGA.

Cell: 4.1881 4.1716 16.6800 Å, 90.00 90.00 90.00°
With the nearest neighbours (Å) after each atom.
Space group Amm2 (No. 38)
Symmetry-distinct sites (fractional):
Tb  0.0000  0.0000  0.0000  10 Ge 3.13-3.31, 5 Fe 3.19-3.50
Gd  0.5000  0.0000  0.7819  10 Ge 3.14-3.31, 5 Fe 3.19-3.51
Fe  0.0000  0.0000  0.2099  5 Ge 2.27-2.39
Fe  0.5000  0.0000  0.5718  5 Ge 2.27-2.39
Ge  0.0000  0.0000  0.3460  1 Fe 2.27
Ge  0.0000  0.0000  0.6403  4 Fe 2.39
Ge  0.5000  0.0000  0.1413  4 Fe 2.39
Ge  0.5000  0.0000  0.4359  1 Fe 2.27

Calculated values
E, eV per atom: -6.031
Size of the total moment, μB per formula unit: 1.3

Record 9
Zr3Al3CuNiIr: relaxed, PBE-GGA.

Cell: 7.0322 7.0322 3.5345 Å, 90.00 90.00 120.00°
With the nearest neighbours (Å) after each atom.
Space group P-6 (No. 174)
Symmetry-distinct sites (fractional):
Zr  0.0698  0.7336  0.0000  2 Ir 2.77, 2 Cu 2.79, 1 Ni 2.82, 6 Al 3.03-3.04
Al  0.4182  0.0884  0.5000  2 Ni 2.48, 1 Cu 2.68, 1 Ir 2.72
Cu  0.0000  0.0000  0.5000  3 Al 2.68, 6 Zr 2.79
Ni  0.6667  0.3333  0.0000  6 Al 2.48
Ir  0.3333  0.6667  0.5000  3 Al 2.72, 6 Zr 2.77

Calculated values
E, eV per atom: -6.797
Size of the total moment, μB per formula unit: 0.0

Record 10
ZrCo2As: relaxed, PBE-GGA.

Cell: 3.8425 5.6912 5.2083 Å, 90.00 90.00 90.00°
With the nearest neighbours (Å) after each atom.
Space group Pmn2_1 (No. 31)
Symmetry-distinct sites (fractional):
Zr  0.0000  0.0830  0.0000  7 Co 2.68-2.83, 3 As 2.90-2.93
Co  0.0000  0.2613  0.4952  3 As 2.38-2.45, 3 Co 2.47-2.52
Co  0.0000  0.6574  0.2798  3 Co 2.47-2.52, 4 As 2.48-2.73, 2 Zr 2.68
As  0.0000  0.6175  0.7584  6 Co 2.38-2.50

Calculated values
E, eV per atom: -7.282
Size of the total moment, μB per formula unit: 0.0

Record 11
LiTaFeSi: relaxed, PBE-GGA.

Cell: 5.9082 5.9082 5.9082 Å, 90.00 90.00 90.00°
With the nearest neighbours (Å) after each atom.
Space group F-43m (No. 216)
Symmetry-distinct sites (fractional):
Li  0.0000  0.0000  0.0000  4 Ta 2.56, 4 Fe 2.56
Ta  0.2500  0.2500  0.2500  4 Li 2.56, 4 Si 2.56
Fe  0.2500  0.2500  0.7500  4 Li 2.56, 4 Si 2.56
Si  0.0000  0.0000  0.5000  4 Ta 2.56, 4 Fe 2.56

Calculated values
E, eV per atom: -6.784
Size of the total moment, μB per formula unit: 2.3
Energy above the lowest structure with this stoichiometry, meV per atom: 490

Record 12
AlSiMo: relaxed, PBE-GGA.

Cell: 5.8129 5.8129 5.8129 Å, 90.00 90.00 90.00°
With the nearest neighbours (Å) after each atom.
Space group F-43m (No. 216)
Symmetry-distinct sites (fractional):
Al  0.0000  0.0000  0.0000  4 Si 2.52
Si  0.2500  0.2500  0.2500  4 Mo 2.52, 4 Al 2.52
Mo  0.0000  0.0000  0.5000  4 Si 2.52

Calculated values
E, eV per atom: -6.519
Size of the total moment, μB per formula unit: 0.0

Record 13
KAg2Sb2: relaxed, PBE-GGA.

Cell: 6.9095 6.8306 11.7192 Å, 90.00 90.00 90.00°
With the nearest neighbours (Å) after each atom.
Space group Cmcm (No. 63)
Symmetry-distinct sites (fractional):
K  0.0000  0.2374  0.2500  8 Sb 3.65-3.76, 8 Ag 3.70-3.92
Ag  0.2266  0.0000  0.0000  4 Sb 2.85-2.87, 1 Ag 3.13
Sb  0.0000  0.2719  0.6274  4 Ag 2.85-2.87, 1 Sb 2.87

Calculated values
E, eV per atom: -3.213

Record 14
PrSmGe2Ir: relaxed, PBE-GGA.

Cell: 10.9093 4.3837 10.5927 Å, 90.00 117.05 90.00°
With the nearest neighbours (Å) after each atom.
Space group C2/m (No. 12)
Symmetry-distinct sites (fractional):
Pr  0.1928  0.0000  0.1176  2 Ir 3.09, 6 Ge 3.12-3.24
Sm  0.0092  0.0000  0.3327  7 Ge 3.06-3.39, 4 Ir 3.07-3.35
Ge  0.0123  0.5000  0.8803  1 Ir 2.60, 1 Ge 2.67
Ge  0.1543  0.5000  0.5518  3 Ir 2.53-2.74
Ir  0.2298  0.5000  0.3380  4 Ge 2.53-2.74

Calculated values
E, eV per atom: -6.372
Size of the total moment, μB per formula unit: 0.0
Energy above the lowest structure with this stoichiometry, meV per atom: 0

Record 15
DyBiNO: relaxed, PBE-GGA.

Cell: 5.8269 8.3578 5.7565 Å, 90.00 90.00 90.00°
With the nearest neighbours (Å) after each atom.
Space group Pca2_1 (No. 29)
Symmetry-distinct sites (fractional):
Dy  0.0087  0.1189  0.0000  4 O 2.27-2.28, 1 N 2.29
Bi  0.0077  0.6285  0.0098  2 N 2.19-2.40
N  0.0856  0.6209  0.5798  2 Bi 2.19-2.40, 1 Dy 2.29
O  0.2486  0.9907  0.2504  4 Dy 2.27-2.28

Calculated values
E, eV per atom: -6.800
Size of the total moment, μB per formula unit: 0.0
Energy above the lowest structure with this stoichiometry, meV per atom: 0

Record 16
ZnN2O3: relaxed, PBE-GGA.

Cell: 2.6409 2.6409 8.3181 Å, 90.00 90.00 90.00°
With the nearest neighbours (Å) after each atom.
Space group P-4m2 (No. 115)
Symmetry-distinct sites (fractional):
Zn  0.0000  0.0000  0.0000  4 O 1.87
N  0.0000  0.5000  0.6649  4 O 1.87
O  0.0000  0.5000  0.3413  4 N 1.87
O  0.5000  0.5000  0.0000  4 Zn 1.87

Calculated values
E, eV per atom: -4.062

Record 17
Gd2DyMg3Al2Cd: relaxed, PBE-GGA.

Cell: 4.5622 12.8799 7.4463 Å, 90.00 90.00 90.00°
With the nearest neighbours (Å) after each atom.
Space group Amm2 (No. 38)
Symmetry-distinct sites (fractional):
Gd  0.0000  0.2141  0.0000  4 Al 3.18, 1 Cd 3.19, 2 Mg 3.33
Dy  0.0000  0.0000  0.3577  4 Al 3.18, 1 Cd 3.19, 2 Mg 3.33
Mg  0.5000  0.0000  0.0319  2 Al 2.86, 2 Cd 2.93, 2 Mg 3.17
Mg  0.5000  0.1230  0.6629  2 Al 2.86, 2 Cd 2.92, 2 Mg 3.17
Al  0.5000  0.1665  0.2859  3 Mg 2.86, 2 Dy 3.18, 4 Gd 3.18
Cd  0.0000  0.0000  0.7856  6 Mg 2.92-2.93, 1 Dy 3.19, 2 Gd 3.19

Calculated values
E, eV per atom: -3.313
Size of the total moment, μB per formula unit: 0.0

Record 18
Bi2Os: relaxed, PBE-GGA.

Cell: 3.3081 3.3081 13.3204 Å, 90.00 90.00 90.00°
With the nearest neighbours (Å) after each atom.
Space group I4/mmm (No. 139)
Symmetry-distinct sites (fractional):
Bi  0.0000  0.0000  0.1323  4 Os 2.93
Os  0.0000  0.0000  0.5000  8 Bi 2.93

Calculated values
E, eV per atom: -5.993
Size of the total moment, μB per formula unit: 0.0

Record 19
ZrCuAs: relaxed, PBE-GGA.

Cell: 6.2541 6.2541 6.2541 Å, 90.00 90.00 90.00°
With the nearest neighbours (Å) after each atom.
Space group F-43m (No. 216)
Symmetry-distinct sites (fractional):
Zr  0.0000  0.0000  0.0000  4 As 2.71, 4 Cu 2.71
Cu  0.2500  0.2500  0.2500  4 Zr 2.71
As  0.2500  0.2500  0.7500  4 Zr 2.71

Calculated values
E, eV per atom: -5.808
Size of the total moment, μB per formula unit: 0.0

Record 20
ZrF: relaxed, PBE-GGA.

Cell: 5.1137 5.1137 5.1137 Å, 90.00 90.00 90.00°
With the nearest neighbours (Å) after each atom.
Space group F-43m (No. 216)
Symmetry-distinct sites (fractional):
Zr  0.0000  0.0000  0.0000  4 F 2.21
F  0.2500  0.2500  0.2500  4 Zr 2.21

Calculated values
E, eV per atom: -6.739
Size of the total moment, μB per formula unit: 0.0
Energy above the lowest structure with this stoichiometry, meV per atom: 0